(1)
This record from Alexandria via LeMat-Bulk describes a geometry-optimized Pa2VNi9 structure. The functional is PBE.

Cell lengths 4.8378, 4.8378, 8.5834 Å; angles 73.63, 73.63, 60.00 degrees
Last column: magnetic moment on the atom in μB.
Sites, in units of the cell vectors:
Ni: 0.5827 0.0811 0.7535  0.05
Ni: 0.5000 0.5000 0.5000  0.04
Ni: 0.6670 0.6670 0.9990  -0.17
Pa: 0.1331 0.1331 0.6008  0.01
Pa: 0.8669 0.8669 0.3992  0.01
Ni: 0.9189 0.4173 0.2465  0.05
Ni: 0.5827 0.5827 0.7535  0.05
Ni: 0.0811 0.5827 0.7535  0.05
V: 0.0000 0.0000 0.0000  1.92
Ni: 0.4173 0.9189 0.2465  0.05
Ni: 0.3330 0.3330 0.0010  -0.17
Ni: 0.4173 0.4173 0.2465  0.05

Computed properties:
- N(E_F): 14.9 states/eV/cell
- Symmetry: R-3m
- Size of the total moment: 2.2 Bohr magnetons per cell

(2)
This record from Alexandria via LeMat-Bulk describes a geometry-optimized Pa2VNi9 structure. The functional is PBE.

Cell lengths 3.8430, 3.8430, 11.0212 Å; angles 90.00, 90.00, 90.00 degrees
Last column: magnetic moment on the atom in μB.
Sites, in units of the cell vectors:
Pa: 0.0000 0.0000 0.3183  0.14
Ni: 0.0000 0.5000 0.5000  0.02
Ni: 0.5000 0.5000 0.3309  0.01
V: 0.0000 0.0000 0.0000  1.77
Pa: 0.0000 0.0000 0.6817  0.14
Ni: 0.5000 0.0000 0.1540  0.11
Ni: 0.5000 0.0000 0.8460  0.11
Ni: 0.5000 0.5000 0.6691  0.01
Ni: 0.0000 0.5000 0.1540  0.11
Ni: 0.0000 0.5000 0.8460  0.11
Ni: 0.5000 0.5000 0.0000  0.15
Ni: 0.5000 0.0000 0.5000  0.02

Computed properties:
- N(E_F): 11.2 states/eV/cell
- Symmetry: P4/mmm
- Size of the total moment: 3.0 Bohr magnetons per cell

Name the least stable of them. (1).

(1)
This record from Alexandria via LeMat-Bulk describes a geometry-optimized PaVNi2 structure. The functional is PBE.

Cell lengths 3.0315, 3.0315, 6.6060 Å; angles 90.00, 90.00, 90.00 degrees
Last column: magnetic moment on the atom in μB.
Sites, in units of the cell vectors:
Ni: 0.0000 0.0000 0.1943  0.06
Pa: 0.5000 0.5000 0.5000  0.04
V: 0.5000 0.5000 0.0000  0.46
Ni: 0.0000 0.0000 0.8057  0.06

Computed properties:
- N(E_F): 6.0 states/eV/cell
- Symmetry: P4/mmm
- Size of the total moment: 0.7 Bohr magnetons per cell

(2)
This record from Alexandria via LeMat-Bulk describes a geometry-optimized PaVNi2 structure. The functional is PBE.

Cell lengths 2.9544, 2.9544, 8.5211 Å; angles 80.02, 80.02, 60.00 degrees
Sites, in units of the cell vectors:
Ni: 0.2651 0.2651 0.2046
Ni: 0.7349 0.7349 0.7954
Pa: 0.5000 0.5000 0.5000
V: 0.0000 0.0000 0.0000

Computed properties:
- N(E_F): 5.0 states/eV/cell
- Symmetry: R-3m
- Size of the total moment: 0.0 Bohr magnetons per cell

Name the least stable of them. (2).

(1)
This record from Alexandria via LeMat-Bulk describes a geometry-optimized PaV2Ni structure. The functional is PBE.

Cell lengths 3.2518, 4.3476, 4.3476 Å; angles 90.00, 90.00, 90.00 degrees
Sites, in units of the cell vectors:
Pa: 0.5000 0.0000 0.0000
V: 0.0000 0.5000 0.0000
Ni: 0.5000 0.5000 0.5000
V: 0.0000 0.0000 0.5000

Computed properties:
- N(E_F): 7.8 states/eV/cell
- Symmetry: P4/mmm
- Size of the total moment: 0.0 Bohr magnetons per cell

(2)
This record from Alexandria via LeMat-Bulk describes a geometry-optimized PaV2Ni structure. The functional is PBE.

Cell lengths 3.2670, 3.2670, 5.7760 Å; angles 90.00, 90.00, 90.00 degrees
Sites, in units of the cell vectors:
Pa: 0.5000 0.5000 0.0000
V: 0.0000 0.0000 0.7334
V: 0.0000 0.0000 0.2666
Ni: 0.5000 0.5000 0.5000

Computed properties:
- N(E_F): 5.6 states/eV/cell
- Symmetry: P4/mmm
- Size of the total moment: 0.0 Bohr magnetons per cell

Name the least stable of them. (2).

(1)
This record from Alexandria via LeMat-Bulk describes a geometry-optimized YPa2Ni6 structure. The functional is PBE.

Cell lengths 3.4151, 7.5307, 7.5307 Å; angles 54.67, 76.89, 76.89 degrees
Sites, in units of the cell vectors:
Ni: 0.1774 0.1287 0.5164
Ni: 0.1774 0.5164 0.1287
Ni: 0.0000 0.8248 0.1752
Ni: 0.8226 0.4836 0.8713
Ni: 0.8226 0.8713 0.4836
Ni: 0.0000 0.1752 0.8248
Pa: 0.3557 0.1443 0.1443
Y: 0.5000 0.5000 0.5000
Pa: 0.6443 0.8557 0.8557

Computed properties:
- N(E_F): 8.4 states/eV/cell
- Symmetry: Immm
- Size of the total moment: 0.0 Bohr magnetons per cell

(2)
This record from Alexandria via LeMat-Bulk describes a geometry-optimized YPa2Ni6 structure. The functional is PBE.

Cell lengths 3.3844, 7.1681, 7.1681 Å; angles 120.00, 90.00, 90.00 degrees
Sites, in units of the cell vectors:
Pa: 0.0000 0.6667 0.3333
Ni: 0.5000 0.3375 0.0000
Ni: 0.5000 0.0000 0.6625
Ni: 0.5000 0.6625 0.0000
Ni: 0.5000 0.0000 0.3375
Pa: 0.0000 0.3333 0.6667
Y: 0.0000 0.0000 0.0000
Ni: 0.5000 0.6625 0.6625
Ni: 0.5000 0.3375 0.3375

Computed properties:
- N(E_F): 10.6 states/eV/cell
- Symmetry: P6/mmm
- Size of the total moment: 0.0 Bohr magnetons per cell

Name the least stable of them. (1).

(1)
This record from Alexandria via LeMat-Bulk describes a geometry-optimized Pa2ZnNi3 structure. The functional is PBE.

Cell lengths 5.3467, 5.3467, 8.0720 Å; angles 103.43, 103.43, 107.39 degrees
Sites, in units of the cell vectors:
Pa: 0.7500 0.2500 0.5000
Ni: 0.3388 0.8308 0.1696
Ni: 0.8303 0.8303 0.6606
Pa: 0.2500 0.7500 0.5000
Pa: 0.7685 0.7685 0.0000
Zn: 0.6647 0.6647 0.3294
Zn: 0.3353 0.3353 0.6706
Ni: 0.1692 0.6612 0.8304
Ni: 0.1697 0.1697 0.3394
Ni: 0.6612 0.1692 0.8304
Pa: 0.2315 0.2315 0.0000
Ni: 0.8308 0.3388 0.1696

Computed properties:
- N(E_F): 13.4 states/eV/cell
- Symmetry: Fmmm
- Size of the total moment: 0.0 Bohr magnetons per cell

(2)
This record from Alexandria via LeMat-Bulk describes a geometry-optimized Pa2ZnNi3 structure. The functional is PBE.

Cell lengths 3.5556, 6.9912, 16.3100 Å; angles 90.00, 90.00, 90.00 degrees
Sites, in units of the cell vectors:
Zn: 0.2500 0.4859 0.0594
Ni: 0.2500 0.0876 0.1616
Zn: 0.7500 0.5141 0.9406
Ni: 0.7500 0.2948 0.8161
Pa: 0.2500 0.5997 0.7886
Zn: 0.2500 0.9859 0.4406
Zn: 0.7500 0.0141 0.5594
Pa: 0.7500 0.8485 0.0674
Ni: 0.7500 0.7948 0.6839
Pa: 0.7500 0.4003 0.2114
Ni: 0.7500 0.7321 0.4448
Pa: 0.7500 0.3485 0.4326
Ni: 0.2500 0.7052 0.1839
Ni: 0.2500 0.7679 0.9448
Ni: 0.7500 0.2321 0.0552
Pa: 0.7500 0.9003 0.2886
Ni: 0.2500 0.5876 0.3384
Pa: 0.2500 0.6515 0.5674
Pa: 0.2500 0.0997 0.7114
Ni: 0.2500 0.2679 0.5552
Ni: 0.2500 0.2052 0.3161
Pa: 0.2500 0.1515 0.9326
Ni: 0.7500 0.4124 0.6616
Ni: 0.7500 0.9124 0.8384

Computed properties:
- N(E_F): 22.3 states/eV/cell
- Symmetry: Pnma
- Size of the total moment: 0.0 Bohr magnetons per cell

Name the least stable of them. (1).

(1)
This record from Alexandria via LeMat-Bulk describes a geometry-optimized Pa2ZnNi structure. The functional is PBE.

Cell lengths 4.1834, 4.2940, 4.2940 Å; angles 90.00, 90.00, 90.00 degrees
Sites, in units of the cell vectors:
Zn: 0.5000 0.5000 0.5000
Ni: 0.5000 0.0000 0.0000
Pa: 0.0000 0.0000 0.5000
Pa: 0.0000 0.5000 0.0000

Computed properties:
- N(E_F): 6.0 states/eV/cell
- Symmetry: P4/mmm
- Size of the total moment: 0.0 Bohr magnetons per cell

(2)
This record from Alexandria via LeMat-Bulk describes a geometry-optimized Pa2ZnNi structure. The functional is PBE.

Cell lengths 3.4360, 3.4360, 6.8035 Å; angles 90.00, 90.00, 90.00 degrees
Sites, in units of the cell vectors:
Pa: 0.0000 0.0000 0.7825
Zn: 0.5000 0.5000 0.5000
Ni: 0.5000 0.5000 0.0000
Pa: 0.0000 0.0000 0.2175

Computed properties:
- N(E_F): 5.9 states/eV/cell
- Symmetry: P4/mmm
- Size of the total moment: 0.0 Bohr magnetons per cell

(3)
This record from Alexandria via LeMat-Bulk describes a geometry-optimized Pa2ZnNi structure. The functional is PBE.

Cell lengths 3.0365, 3.0365, 10.3278 Å; angles 81.55, 81.55, 60.00 degrees
Sites, in units of the cell vectors:
Pa: 0.0823 0.0823 0.7532
Zn: 0.5000 0.5000 0.5000
Pa: 0.9177 0.9177 0.2468
Ni: 0.0000 0.0000 0.0000

Computed properties:
- N(E_F): 5.9 states/eV/cell
- Symmetry: R-3m
- Size of the total moment: 0.0 Bohr magnetons per cell

Name the least stable of them. (3).

(1)
This record from Alexandria via LeMat-Bulk describes a geometry-optimized Pa3Zn2Ni7 structure. The functional is PBE.

Cell lengths 5.0489, 5.0489, 8.6068 Å; angles 72.94, 72.94, 60.00 degrees
Sites, in units of the cell vectors:
Ni: 0.4180 0.9146 0.2495
Pa: 0.8581 0.8581 0.4256
Ni: 0.4180 0.4180 0.2495
Ni: 0.5820 0.0854 0.7505
Pa: 0.0000 0.0000 0.0000
Ni: 0.5820 0.5820 0.7505
Ni: 0.5000 0.5000 0.5000
Pa: 0.1419 0.1419 0.5744
Zn: 0.6680 0.6680 0.9961
Zn: 0.3320 0.3320 0.0039
Ni: 0.9146 0.4180 0.2495
Ni: 0.0854 0.5820 0.7505

Computed properties:
- N(E_F): 12.7 states/eV/cell
- Symmetry: R-3m
- Size of the total moment: 0.0 Bohr magnetons per cell

(2)
This record from Alexandria via LeMat-Bulk describes a geometry-optimized Pa3Zn2Ni7 structure. The functional is PBE.

Cell lengths 3.7260, 3.8695, 13.3229 Å; angles 98.35, 90.00, 90.00 degrees
Sites, in units of the cell vectors:
Pa: 0.5000 0.5000 0.0000
Ni: 0.0000 0.4290 0.8581
Pa: 0.0000 0.8131 0.6261
Pa: 0.0000 0.1869 0.3739
Ni: 0.5000 0.0718 0.1433
Ni: 0.0000 0.5710 0.1419
Ni: 0.5000 0.2789 0.5577
Ni: 0.0000 0.0000 0.0000
Ni: 0.5000 0.7211 0.4423
Zn: 0.5000 0.6298 0.2595
Ni: 0.5000 0.9282 0.8567
Zn: 0.5000 0.3702 0.7405

Computed properties:
- N(E_F): 12.0 states/eV/cell
- Symmetry: Cmmm
- Size of the total moment: 0.0 Bohr magnetons per cell

Name the least stable of them. (2).

(1)
This record from Alexandria via LeMat-Bulk describes a geometry-optimized PaZn2Ni4 structure. The functional is PBE.

Cell lengths 5.0436, 5.0499, 5.0499 Å; angles 75.56, 60.04, 60.04 degrees
Sites, in units of the cell vectors:
Ni: 0.3025 0.0000 0.3950
Ni: 0.3025 0.3950 0.0000
Pa: 0.0000 0.0000 0.0000
Zn: 0.7500 0.5000 0.5000
Ni: 0.6975 0.6050 0.0000
Zn: 0.2500 0.5000 0.5000
Ni: 0.6975 0.0000 0.6050

Computed properties:
- N(E_F): 5.2 states/eV/cell
- Symmetry: I4/mmm
- Size of the total moment: 0.0 Bohr magnetons per cell

(2)
This record from Alexandria via LeMat-Bulk describes a geometry-optimized PaZn2Ni4 structure. The functional is PBE.

Cell lengths 5.6653, 5.6653, 5.6653 Å; angles 100.08, 100.08, 130.53 degrees
Sites, in units of the cell vectors:
Pa: 0.0000 0.0000 0.0000
Ni: 0.5000 0.7193 0.2193
Ni: 0.2807 0.5000 0.7807
Zn: 0.2500 0.7500 0.5000
Ni: 0.5000 0.2807 0.7807
Zn: 0.7500 0.2500 0.5000
Ni: 0.7193 0.5000 0.2193

Computed properties:
- N(E_F): 6.7 states/eV/cell
- Symmetry: I4/mmm
- Size of the total moment: 0.0 Bohr magnetons per cell

Name the least stable of them. (2).

(1)
This record from Alexandria via LeMat-Bulk describes a geometry-optimized PaZn2Ni structure. The functional is PBE.

Cell lengths 3.2972, 4.2300, 9.9548 Å; angles 90.00, 99.53, 90.00 degrees
Last column: magnetic moment on the atom in μB.
Sites, in units of the cell vectors:
Pa: 0.3888 0.2500 0.7776  0.34
Pa: 0.6112 0.7500 0.2224  0.34
Zn: 0.7534 0.2500 0.5069  0.00
Zn: 0.9688 0.7500 0.9375  0.01
Ni: 0.1573 0.2500 0.3147  0.00
Zn: 0.2466 0.7500 0.4931  0.00
Zn: 0.0312 0.2500 0.0625  0.01
Ni: 0.8427 0.7500 0.6853  0.00

Computed properties:
- N(E_F): 7.8 states/eV/cell
- Symmetry: Cmcm
- Size of the total moment: 0.9 Bohr magnetons per cell

(2)
This record from Alexandria via LeMat-Bulk describes a geometry-optimized PaZn2Ni structure. The functional is PBE.

Cell lengths 3.0163, 3.0163, 7.1722 Å; angles 90.00, 90.00, 90.00 degrees
Last column: magnetic moment on the atom in μB.
Sites, in units of the cell vectors:
Zn: 0.0000 0.0000 0.1872  0.00
Zn: 0.0000 0.0000 0.8128  0.00
Pa: 0.5000 0.5000 0.5000  0.26
Ni: 0.5000 0.5000 0.0000  0.03

Computed properties:
- N(E_F): 4.2 states/eV/cell
- Symmetry: P4/mmm
- Size of the total moment: 0.3 Bohr magnetons per cell

Name the least stable of them. (2).

(1)
This record from Alexandria via LeMat-Bulk describes a geometry-optimized Pa2Zn2Ni3 structure. The functional is PBE.

Cell lengths 3.5761, 7.2517, 9.2822 Å; angles 90.00, 101.11, 90.00 degrees
Sites, in units of the cell vectors:
Ni: 0.5610 0.4354 0.1221
Pa: 0.1471 0.2500 0.2943
Pa: 0.8529 0.7500 0.7057
Zn: 0.3107 0.4328 0.6215
Ni: 0.5610 0.0646 0.1221
Zn: 0.6893 0.9328 0.3785
Ni: 0.2446 0.7500 0.4892
Ni: 0.4390 0.5646 0.8779
Zn: 0.3107 0.0672 0.6215
Ni: 0.7554 0.2500 0.5108
Zn: 0.6893 0.5672 0.3785
Ni: 0.4390 0.9354 0.8779
Pa: 0.0553 0.7500 0.1106
Pa: 0.9447 0.2500 0.8894

Computed properties:
- N(E_F): 11.6 states/eV/cell
- Symmetry: Cmcm
- Size of the total moment: 0.0 Bohr magnetons per cell

(2)
This record from Alexandria via LeMat-Bulk describes a geometry-optimized Pa2Zn2Ni3 structure. The functional is PBE.

Cell lengths 6.8722, 6.8722, 6.8722 Å; angles 109.47, 109.47, 109.47 degrees
Sites, in units of the cell vectors:
Ni: 0.7799 0.7500 0.0299
Ni: 0.5299 0.2799 0.7500
Pa: 0.4958 0.9958 0.9958
Zn: 0.0000 0.0000 0.9123
Zn: 0.5000 0.9123 0.5000
Ni: 0.7500 0.4701 0.2201
Pa: 0.0000 0.0000 0.5042
Pa: 0.5000 0.5042 0.5000
Ni: 0.2500 0.0299 0.2799
Pa: 0.0042 0.5000 0.0000
Zn: 0.0877 0.5877 0.5877
Zn: 0.4123 0.5000 0.0000
Ni: 0.7201 0.2500 0.4701
Ni: 0.9701 0.2201 0.2500

Computed properties:
- N(E_F): 16.3 states/eV/cell
- Symmetry: I2_13
- Size of the total moment: 0.0 Bohr magnetons per cell

Name the least stable of them. (2).

(1)
This record from Alexandria via LeMat-Bulk describes a geometry-optimized ZrPaNi2 structure. The functional is PBE.

Cell lengths 3.4110, 4.1872, 5.3218 Å; angles 90.00, 108.64, 90.00 degrees
Sites, in units of the cell vectors:
Pa: 0.4429 0.5000 0.4242
Zr: 0.7286 0.0000 0.9961
Ni: 0.1586 0.5000 0.8573
Ni: 0.0008 0.0000 0.5404

Computed properties:
- N(E_F): 5.1 states/eV/cell
- Symmetry: Amm2
- Size of the total moment: 0.0 Bohr magnetons per cell

(2)
This record from Alexandria via LeMat-Bulk describes a geometry-optimized ZrPaNi2 structure. The functional is PBE.

Cell lengths 4.6554, 4.6554, 4.6554 Å; angles 60.00, 60.00, 60.00 degrees
Sites, in units of the cell vectors:
Ni: 0.2500 0.2500 0.2500
Pa: 0.0000 0.0000 0.0000
Ni: 0.7500 0.7500 0.7500
Zr: 0.5000 0.5000 0.5000

Computed properties:
- N(E_F): 7.5 states/eV/cell
- Symmetry: Fm-3m
- Size of the total moment: 0.0 Bohr magnetons per cell

(3)
This record from Alexandria via LeMat-Bulk describes a geometry-optimized ZrPaNi2 structure. The functional is PBE.

Cell lengths 3.2138, 3.2138, 6.8002 Å; angles 90.00, 90.00, 90.00 degrees
Sites, in units of the cell vectors:
Zr: 0.5000 0.5000 0.0000
Pa: 0.5000 0.5000 0.5000
Ni: 0.0000 0.0000 0.7776
Ni: 0.0000 0.0000 0.2224

Computed properties:
- N(E_F): 4.5 states/eV/cell
- Symmetry: P4/mmm
- Size of the total moment: 0.0 Bohr magnetons per cell

Name the least stable of them. (2).